# 1
Here is Be2PdAu2 after structural relaxation from the Alexandria database. Energies are from PBE.

Cell lengths 6.7100, 6.7100, 2.9800 Å; angles 90.00, 90.00, 90.00 degrees
Closest atoms and distances in Å follow each position.
Space group P4/mbm (No. 127)
Symmetry-distinct sites (fractional):
Be1 0.1370 0.3630 0.0000 x4  6 Au 2.46-2.47, 1 Be 2.60, 2 Pd 2.60
Pd1 0.0000 0.0000 0.0000 x2  4 Be 2.60
Au1 0.1567 0.6567 0.5000 x4  6 Be 2.46-2.47

Properties
raw total energy = -4.08 eV/atom
formation energy = -114 kJ/mol of formula units
offset from the most stable computed form = 0.017 eV per atom
ρ = 12.831 g/cm3

# 2
Here is CaIrPd2 after structural relaxation from the Alexandria database. Energies are from PBE.

Cell lengths 4.1102, 4.1102, 18.3960 Å; angles 90.00, 90.00, 90.00 degrees
Closest atoms and distances in Å follow each position.
Space group I-42d (No. 122)
Symmetry-distinct sites (fractional):
Ca1 0.0000 0.0000 0.0000 x4  4 Pd 2.79, 4 Ir 2.91
Ir1 0.0000 0.0000 0.5000 x4  4 Pd 2.66, 4 Ca 2.91
Pd1 0.2104 0.2500 0.6250 x8  2 Ir 2.66, 2 Pd 2.69, 2 Ca 2.79

Properties
raw total energy = -5.18 eV/atom
formation energy = 50 kJ/mol of formula units
offset from the most stable computed form = 0.205 eV per atom
ρ = 9.514 g/cm3

# 3
Here is Zn2IrSe after structural relaxation from the Alexandria database. Energies are from PBE.

Cell lengths 3.0134, 4.6046, 4.6322 Å; angles 90.00, 90.28, 90.00 degrees
Closest atoms and distances in Å follow each position.
Space group P2/m (No. 10)
Symmetry-distinct sites (fractional):
Zn1 0.2391 0.0000 0.2673 x2  3 Zn 2.60-2.86, 2 Ir 2.66, 2 Se 2.71
Ir1 0.5000 0.5000 0.5000 x1  4 Zn 2.66, 4 Se 2.76-2.77
Se1 0.0000 0.5000 0.0000 x1  4 Zn 2.71, 4 Ir 2.76-2.77, 2 Se 3.01

Properties
raw total energy = -3.56 eV/atom
formation energy from raw total energies = 0.16 eV per atom
ρ = 10.386 g/cm3

# 4
Here is ZnInPtRh after structural relaxation from the Alexandria database. Energies are from PBE.

Cell lengths 3.5738, 4.1848, 4.2498 Å; angles 90.00, 90.00, 90.00 degrees
Closest atoms and distances in Å follow each position.
Space group Pmmm (No. 47)
Symmetry-distinct sites (fractional):
Zn1 0.0000 0.0000 0.0000 x1  4 Pt 2.75, 4 Rh 2.78, 4 In 2.98
In1 0.0000 0.5000 0.5000 x1  4 Rh 2.75, 4 Pt 2.78, 4 Zn 2.98
Pt1 0.5000 0.5000 0.0000 x1  4 Zn 2.75, 4 In 2.78, 4 Rh 2.98
Rh1 0.5000 0.0000 0.5000 x1  4 In 2.75, 4 Zn 2.78, 4 Pt 2.98

Properties
raw total energy = -4.82 eV/atom
formation energy = -180 kJ/mol of formula units
offset from the most stable computed form = 0.000 eV per atom
ρ = 12.494 g/cm3

# 5
Here is UTeC after structural relaxation from the Alexandria database. Energies are from PBE.

Cell lengths 3.9395, 3.9395, 7.5010 Å; angles 90.00, 90.00, 90.00 degrees
Closest atoms and distances in Å follow each position.
Space group P4/nmm (No. 129, origin choice 2)
Symmetry-distinct sites (fractional):
U1 0.2500 0.2500 0.1550 x2  4 C 2.29
Te1 0.2500 0.2500 0.6357 x2  4 U 3.20, 4 C 3.37, 4 Te 3.45
C1 0.2500 0.7500 0.0000 x2  4 U 2.29

Properties
raw total energy = -8.29 eV/atom
offset from the most stable computed form = 0.000 eV per atom
formation energy from raw total energies = -0.41 eV per atom
ρ = 10.773 g/cm3

# 6
Here is Li2CaZn after structural relaxation from the Alexandria database. Energies are from PBE.

Cell lengths 4.2898, 4.2898, 20.9162 Å; angles 90.00, 90.00, 90.00 degrees
Closest atoms and distances in Å follow each position.
Space group I-42d (No. 122)
Symmetry-distinct sites (fractional):
Li1 0.1853 0.2500 0.1250 x8  2 Li 2.67, 2 Zn 2.94
Ca1 0.0000 0.0000 0.5000 x4  4 Zn 3.03, 4 Li 3.13
Zn1 0.0000 0.0000 0.0000 x4  4 Li 2.94, 4 Ca 3.03

Properties
raw total energy = -1.74 eV/atom
formation energy = 14 kJ/mol of formula units
ρ = 2.060 g/cm3

# 7
Here is La3EuRu after structural relaxation from the Alexandria database. Energies are from PBE.

Cell lengths 5.6650, 5.6650, 5.6650 Å; angles 90.00, 90.00, 90.00 degrees
Closest atoms and distances in Å follow each position.
Space group Pm-3m (No. 221)
Symmetry-distinct sites (fractional):
La1 0.0000 0.0000 0.5000 x3  2 Ru 2.83
Eu1 0.5000 0.5000 0.5000 x1  12 La 4.01
Ru1 0.0000 0.0000 0.0000 x1  6 La 2.83

Properties
raw total energy = -7.02 eV/atom
formation energy = -72 kJ/mol of formula units
ρ = 6.117 g/cm3

# 8
Here is ZrMo2Cl after structural relaxation from the Alexandria database. Energies are from PBE.

Cell lengths 4.4222, 4.4222, 7.1618 Å; angles 90.00, 90.00, 90.00 degrees
Closest atoms and distances in Å follow each position.
Space group I-4m2 (No. 119)
Symmetry-distinct sites (fractional):
Zr1 0.0000 0.0000 0.0000 x2  4 Cl 2.85, 8 Mo 2.85-3.13
Mo1 0.0000 0.0000 0.5000 x2  4 Cl 2.85, 4 Mo 2.85, 4 Zr 3.13
Mo2 0.0000 0.5000 0.2500 x2  4 Zr 2.85, 4 Mo 2.85, 4 Cl 3.13
Cl1 0.0000 0.5000 0.7500 x2  4 Zr 2.85, 8 Mo 2.85-3.13

Properties
raw total energy = -7.39 eV/atom
offset from the most stable computed form = 0.783 eV per atom
formation energy from raw total energies = 0.63 eV per atom
ρ = 7.554 g/cm3

raw total energy of number 6 (Li2CaZn)? -1.74 eV/atom

Which of these has the highest ρ? Be2PdAu2

Among the records above, which one has the highest raw total energy? Li2CaZn